This record from the Alexandria database describes a relaxed SmPd5Au7 crystal. The functional is GGA-PBE.

Computed properties:
The calculation puts the total energy at -4.40 eV/atom. Its crystal system is orthorhombic. The calculated formation energy comes out at -26.7 kJ/mol of atoms. Its mass density is 14.3 Mg/m³. Its density of states at the Fermi level is 0.46 states/eV per atom. Its space group is Imm2 (44).

Cell lengths 7.133, 7.133, 7.133 Å; angles 134.31, 98.24, 99.10 degrees
Element x y z (fractional)
Sm: 0.000 0.000 0.000
Pd: 0.210 0.710 0.500
Pd: 0.481 0.482 0.496
Pd: 0.481 0.984 0.998
Pd: 0.986 0.482 0.002
Pd: 0.986 0.984 0.504
Au: 0.188 0.485 0.703
Au: 0.323 0.982 0.341
Au: 0.332 0.332 0.000
Au: 0.640 0.982 0.659
Au: 0.658 0.658 0.000
Au: 0.757 0.257 0.500
Au: 0.781 0.485 0.297